CrRuN2O: relaxed, PBE+U.

a = 3.7501 Å, b = 3.7501 Å, c = 3.7947 Å
α = 90.00°, β = 90.00°, γ = 90.00°
Last column: nearest neighbours and their distance in Å.
Positions (direct):
Ru1 0.5000 0.5000 0.5000  4 O 2.65, 8 N 2.67
N1 0.0000 0.5000 0.0000  2 Cr 1.88
N2 0.5000 0.0000 0.0000  2 Cr 1.88
O1 0.0000 0.0000 0.5000  2 Cr 1.90
Cr1 0.0000 0.0000 0.0000  4 N 1.88, 2 O 1.90

Calculated total energy, eV per atom: -6.7848
Space group: No. 123